The following is a DFT calculation (PBE) of an optimized crystal structure of Pm4InGa3.

```
Pm4InGa3
1.0
10.491 0.000 0.000
0.000 7.474 0.000
0.000 0.000 5.245
Pm In Ga
8 2 6
Cartesian
0.000 1.815 0.000
0.000 5.659 0.000
2.623 1.815 2.616
2.623 5.659 2.616
5.246 1.815 0.000
5.246 5.659 0.000
7.868 1.815 2.629
7.868 5.659 2.629
0.000 3.737 2.622
5.246 3.737 2.622
0.000 0.000 2.622
2.623 0.000 5.235
2.623 3.737 5.237
5.246 0.000 2.622
7.868 0.000 0.010
7.868 3.737 0.008
```

- M_tot: 0.00 μB per formula unit
- Relative energy among the computed polymorphs: 0.010 eV/atom
- Space group: No. 51
- E: -4.390 eV per atom
- Formation energy: -0.537 eV/atom